Compound: Tl2AsOs
Source: Alexandria via LeMat-Bulk
Functional: PBE
Structure: relaxed

E_form = 90.4 kJ per mole of atoms
Crystal system = monoclinic
Mass density = 13.4 Mg/m³
Relative energy among the computed polymorphs = 678.9 meV per atom
Symmetry = C2/m

Unit cell a=5.121 b=5.121 c=5.082 alpha=98.68 beta=98.68 gamma=39.29
Positions (direct):
1 Tl 0.239 0.239 0.236
2 Tl 0.761 0.761 0.764
3 As 0.000 0.000 0.500
4 Os 0.500 0.500 0.000

=====

Compound: YGe2Pb2
Source: Alexandria via LeMat-Bulk
Functional: PBE
Structure: relaxed

E_form = 6.5 kJ per mole of atoms
Crystal system = tetragonal
Mass density = 8.0 Mg/m³
Relative energy among the computed polymorphs = 220.1 meV per atom
Symmetry = I4/mmm

Unit cell a=8.824 b=8.824 c=8.824 alpha=153.68 beta=153.68 gamma=37.56
Positions (direct):
1 Y 0.000 0.000 0.000
2 Ge 0.250 0.750 0.500
3 Ge 0.750 0.250 0.500
4 Pb 0.398 0.398 0.000
5 Pb 0.602 0.602 0.000

=====

Compound: Ac2Tb6Pr
Source: Alexandria via LeMat-Bulk
Functional: PBE
Structure: relaxed

E_form = 12.1 kJ per mole of atoms
Crystal system = trigonal
Mass density = 8.1 Mg/m³
Symmetry = P-3

Unit cell a=10.054 b=10.054 c=3.637 alpha=90.00 beta=90.00 gamma=120.00
Positions (direct):
1 Ac 0.333 0.667 0.231
2 Ac 0.667 0.333 0.769
3 Tb 0.020 0.677 0.725
4 Tb 0.323 0.343 0.725
5 Tb 0.343 0.020 0.275
6 Tb 0.657 0.980 0.725
7 Tb 0.677 0.657 0.275
8 Tb 0.980 0.323 0.275
9 Pr 0.000 0.000 0.000

=====

Compound: KTlPtF6
Source: Alexandria via LeMat-Bulk
Functional: PBE
Structure: relaxed

E = -0.30960 Ry/atom
Crystal system = trigonal
Mass density = 5.3 Mg/m³
Symmetry = P-31c

Unit cell a=6.542 b=6.542 c=9.282 alpha=90.00 beta=90.00 gamma=120.00
Positions (direct):
1 K 0.333 0.667 0.250
2 K 0.667 0.333 0.750
3 Tl 0.000 0.000 0.000
4 Tl 0.000 0.000 0.500
5 Pt 0.333 0.667 0.750
6 Pt 0.667 0.333 0.250
7 F 0.081 0.414 0.632
8 F 0.081 0.667 0.868
9 F 0.333 0.414 0.868
10 F 0.333 0.919 0.632
11 F 0.414 0.081 0.132
12 F 0.414 0.333 0.368
13 F 0.586 0.667 0.632
14 F 0.586 0.919 0.868
15 F 0.667 0.081 0.368
16 F 0.667 0.586 0.132
17 F 0.919 0.333 0.132
18 F 0.919 0.586 0.368